[1]
A relaxed La2NdY4Er2 crystal, computed with PBE-GGA.

It has space group P-1 (No. 2), with a = 6.2310 Å, b = 6.2617 Å, c = 8.0737 Å, α = 82.53°, β = 75.32° and γ = 80.29°. Symmetry generates all atoms from La at (0.1709, 0.3313, 0.3345), Nd at (0.5000, 0.0000, 0.0000), Y at (0.0580, 0.1101, 0.7785), Y at (0.2758, 0.5546, 0.8871) and Er at (0.3911, 0.7768, 0.4451).

Its formation enthalpy at 0 K is 0.025 eV/atom. For the electronic total energy, the calculation gives -5.487 eV/atom.


[2]
A relaxed LiTiZn4 crystal, computed with PBE-GGA.

It has space group F-43m (No. 216), with a = 7.1838 Å, b = 7.1838 Å, c = 7.1838 Å, α = 90.00°, β = 90.00° and γ = 90.00°. Symmetry generates all atoms from Li at (0.0000, 0.0000, 0.0000), Ti at (0.2500, 0.2500, 0.7500) and Zn at (0.1245, 0.1245, 0.3755).

Its formation enthalpy at 0 K is -0.057 eV/atom. For the electronic total energy, the calculation gives -2.541 eV/atom.


[3]
A relaxed RbHfZrAg2 crystal, computed with PBE-GGA.

It has space group P4/mmm (No. 123), with a = 5.2345 Å, b = 5.2345 Å, c = 5.5994 Å, α = 90.00°, β = 90.00° and γ = 90.00°. Symmetry generates all atoms from Rb at (0.0000, 0.0000, 0.0000), Hf at (0.0000, 0.0000, 0.5000), Zr at (0.5000, 0.5000, 0.0000) and Ag at (0.0000, 0.5000, 0.5000).

Its formation enthalpy at 0 K is 1.618 eV/atom. For the electronic total energy, the calculation gives -3.417 eV/atom.


[4]
A relaxed ZrReTc crystal, computed with PBE-GGA.

It has space group I4mm (No. 107), with a = 3.0582 Å, b = 3.0582 Å, c = 11.1461 Å, α = 90.00°, β = 90.00° and γ = 90.00°. Symmetry generates all atoms from Zr at (0.0000, 0.0000, 0.0000), Re at (0.0000, 0.0000, 0.3147) and Tc at (0.0000, 0.0000, 0.6866).

Its formation enthalpy at 0 K is -0.083 eV/atom. For the electronic total energy, the calculation gives -10.537 eV/atom.


[5]
A relaxed ZrHgB crystal, computed with PBE-GGA.

It has space group C2/m (No. 12), with a = 5.6342 Å, b = 3.2454 Å, c = 10.8357 Å, α = 90.00°, β = 90.27° and γ = 90.00°. Symmetry generates all atoms from Zr at (0.0013, 0.0000, 0.1554), Hg at (0.1635, 0.5000, 0.6178) and B at (0.1669, 0.5000, 0.0007).

Its formation enthalpy at 0 K is -0.555 eV/atom. For the electronic total energy, the calculation gives -5.731 eV/atom.


[6]
A relaxed Tm2BiN crystal, computed with PBE-GGA.

It has space group R-3m (No. 166, hexagonal axes), with a = 3.5536 Å, b = 3.5536 Å, c = 22.6687 Å, α = 90.00°, β = 90.00° and γ = 120.00°. Symmetry generates all atoms from Tm at (0.0000, 0.0000, 0.2218), Bi at (0.0000, 0.0000, 0.0000) and N at (0.0000, 0.0000, 0.5000).

Its uncorrected formation energy is -1.0982 eV/atom. For the electronic total energy, the calculation gives -6.386 eV/atom.


[7]
A relaxed ScTl2Cu crystal, computed with PBE-GGA.

It has space group P2/m (No. 10), with a = 3.3898 Å, b = 4.5109 Å, c = 5.8891 Å, α = 90.00°, β = 98.18° and γ = 90.00°. Symmetry generates all atoms from Sc at (0.0000, 0.0000, 0.0000), Tl at (0.3451, 0.5000, 0.7384) and Cu at (0.5000, 0.0000, 0.5000).

Its formation enthalpy at 0 K is 0.053 eV/atom. For the electronic total energy, the calculation gives -3.738 eV/atom.


[8]
A relaxed CsRu3Se crystal, computed with PBE-GGA.

It has space group Pm-3m (No. 221), with a = 4.9909 Å, b = 4.9909 Å, c = 4.9909 Å, α = 90.00°, β = 90.00° and γ = 90.00°. Symmetry generates all atoms from Cs at (0.0000, 0.0000, 0.0000), Ru at (0.0000, 0.0000, 0.5000) and Se at (0.5000, 0.5000, 0.5000).

Its uncorrected formation energy is 2.8405 eV/atom. For the electronic total energy, the calculation gives -3.593 eV/atom.


| no. | DOS at the Fermi energy (states/eV per cell) |
| --- | --- |
| 1 | 12.4 |
| 2 | 15.4 |
| 3 | 6.7 |
| 4 | 6.6 |
| 5 | 2.8 |
| 6 | 8.6 |
| 7 | 2.4 |
| 8 | 11.7 |